# 1
Compound: Pm2Ho3Al3
Source: the Alexandria database
Functional: PBE
Structure: optimized geometry

a b c (Å): 11.367 11.367 11.367
angles (deg): 161.25 153.93 32.31
Fractional coordinates of all 8 atoms:
Pm 0.229 0.229 0.000
Pm 0.771 0.771 0.000
Ho 0.000 0.000 0.000
Ho 0.383 0.883 0.500
Ho 0.617 0.117 0.500
Al 0.113 0.613 0.500
Al 0.500 0.500 0.000
Al 0.887 0.387 0.500

## Properties
- electronic total energy (eV for the cell shown) = -36.7
- DOS(E_F) (states/eV/atom) = 0.63
- E above lowest polymorph (eV/f.u.) = 0.00

---

# 2
Compound: Pm2Ho5Al4
Source: the Alexandria database
Functional: PBE
Structure: optimized geometry

a b c (Å): 15.376 15.376 15.376
angles (deg): 167.24 149.70 32.99
Fractional coordinates of all 11 atoms:
Pm 0.093 0.093 0.000
Pm 0.907 0.907 0.000
Ho 0.000 0.500 0.500
Ho 0.004 0.799 0.205
Ho 0.406 0.201 0.205
Ho 0.594 0.799 0.795
Ho 0.996 0.201 0.795
Al 0.290 0.290 0.000
Al 0.325 0.000 0.325
Al 0.675 0.000 0.675
Al 0.710 0.710 0.000

## Properties
- electronic total energy (eV for the cell shown) = -42.3
- DOS(E_F) (states/eV/atom) = 1.29

---

# 3
Compound: PmHo6Al
Source: the Alexandria database
Functional: PBE
Structure: optimized geometry

a b c (Å): 4.848 4.848 9.929
angles (deg): 90.00 90.00 90.00
Fractional coordinates of all 8 atoms:
Pm 0.000 0.000 0.000
Ho 0.000 0.500 0.263
Ho 0.000 0.500 0.737
Ho 0.500 0.000 0.263
Ho 0.500 0.000 0.737
Ho 0.500 0.500 0.000
Ho 0.500 0.500 0.500
Al 0.000 0.000 0.500

## Properties
- electronic total energy (eV for the cell shown) = -36.4
- DOS(E_F) (states/eV/atom) = 1.10